Record 1
! CsNiP2Os | Alexandria | PBE | relaxed; values from VASP
&SYSTEM
  ibrav = 0, nat = 5, ntyp = 4
/
ATOMIC_SPECIES
Cs 132.91 Cs.upf
Ni 58.69 Ni.upf
Os 190.23 Os.upf
P 30.97 P.upf
CELL_PARAMETERS angstrom
-0.286 4.191 1.314
-2.484 -1.240 3.415
4.491 -0.644 3.033
ATOMIC_POSITIONS crystal
Cs 0.000 0.000 0.500
Ni 0.000 0.000 0.000
Os 0.500 0.500 0.500
P 0.000 0.500 0.000
P 0.500 0.000 0.000
! Magnetic moment = 0.313 μB per atom
! D(E_F) = 4.88 states/eV per cell
! Formation energy = 1.530 eV/atom
! Space group = P4/mmm

Record 2
! AsIr2PbI | Alexandria | PBE | relaxed; values from VASP
&SYSTEM
  ibrav = 0, nat = 5, ntyp = 4
/
ATOMIC_SPECIES
Pb 207.20 Pb.upf
I 126.90 I.upf
As 74.92 As.upf
Ir 192.22 Ir.upf
CELL_PARAMETERS angstrom
4.876 0.000 0.000
0.000 5.981 0.000
0.000 0.000 4.876
ATOMIC_POSITIONS crystal
Pb 0.000 0.500 0.000
I 0.000 0.000 0.000
As 0.500 0.500 0.500
Ir 0.000 0.000 0.500
Ir 0.500 0.000 0.000
! Magnetic moment = 0.000 μB per atom
! D(E_F) = 8.07 states/eV per cell
! Space group = P4/mmm
! Raw formation energy = 1.733 eV per atom

Record 3
! HoThRh | Alexandria | PBE | relaxed; values from VASP
&SYSTEM
  ibrav = 0, nat = 6, ntyp = 3
/
ATOMIC_SPECIES
Ho 164.93 Ho.upf
Th 232.04 Th.upf
Rh 102.91 Rh.upf
CELL_PARAMETERS angstrom
-1.915 -3.170 -1.416
4.872 -1.697 -2.790
4.841 -6.576 2.626
ATOMIC_POSITIONS crystal
Ho 0.078 0.379 0.844
Ho 0.922 0.621 0.156
Th 0.652 0.001 0.695
Th 0.348 0.999 0.305
Rh 0.728 0.642 0.544
Rh 0.272 0.358 0.456
! Magnetic moment = 0.000 μB per atom
! D(E_F) = 5.30 states/eV per cell
! Excess energy over the best structure of this formula in the dataset = 0.044 eV per formula unit
! Formation energy = -0.583 eV/atom
! Space group = C2/m

Record 4
! LiZnF3 | Alexandria | PBE | relaxed; values from VASP
&SYSTEM
  ibrav = 0, nat = 5, ntyp = 3
/
ATOMIC_SPECIES
Zn 65.41 Zn.upf
Li 6.94 Li.upf
F 19.00 F.upf
CELL_PARAMETERS angstrom
3.643 0.000 0.000
0.000 3.643 0.000
0.000 0.000 3.643
ATOMIC_POSITIONS crystal
Zn 0.500 0.500 0.500
Li 0.000 0.000 0.000
F 0.000 0.500 0.000
F 0.000 0.000 0.500
F 0.500 0.000 0.000
! Magnetic moment = 0.000 μB per atom
! D(E_F) = 0.00 states/eV per cell
! Excess energy over the best structure of this formula in the dataset = 2.596 eV per formula unit
! Space group = Pm-3m
! Raw formation energy = -2.040 eV per atom

Record 5
! LiAcCd6Ag | Alexandria | PBE | relaxed; values from VASP
&SYSTEM
  ibrav = 0, nat = 18, ntyp = 4
/
ATOMIC_SPECIES
Li 6.94 Li.upf
Ac 227.00 Ac.upf
Cd 112.41 Cd.upf
Ag 107.87 Ag.upf
CELL_PARAMETERS angstrom
9.789 0.000 0.000
0.000 7.920 0.000
-4.895 -3.960 5.935
ATOMIC_POSITIONS crystal
Li 0.500 0.000 0.500
Li 0.000 0.000 0.500
Ac 0.042 0.792 0.084
Ac 0.958 0.208 0.916
Cd 0.269 0.519 0.538
Cd 0.668 0.918 0.335
Cd 0.876 0.180 0.249
Cd 0.373 0.569 0.249
Cd 0.373 0.180 0.249
Cd 0.876 0.569 0.249
Cd 0.731 0.481 0.462
Cd 0.332 0.082 0.665
Cd 0.124 0.820 0.751
Cd 0.627 0.431 0.751
Cd 0.627 0.820 0.751
Cd 0.124 0.431 0.751
Ag 0.500 0.500 0.000
Ag 0.500 0.000 0.000
! Magnetic moment = 0.000 μB per atom
! D(E_F) = 7.92 states/eV per cell
! Formation energy = -0.021 eV/atom
! Space group = Imma

Record 6
! Cs6Rb23Hg | Alexandria | PBE | relaxed; values from VASP
&SYSTEM
  ibrav = 0, nat = 30, ntyp = 3
/
ATOMIC_SPECIES
Cs 132.91 Cs.upf
Rb 85.47 Rb.upf
Hg 200.59 Hg.upf
CELL_PARAMETERS angstrom
-8.889 7.810 -10.545
-15.037 3.627 3.452
-4.097 15.070 2.704
ATOMIC_POSITIONS crystal
Cs 0.685 0.685 0.315
Cs 0.315 0.315 0.685
Cs 0.685 0.315 0.315
Cs 0.315 0.685 0.685
Cs 0.685 0.315 0.685
Cs 0.315 0.685 0.315
Rb 0.645 0.118 0.118
Rb 0.355 0.882 0.882
Rb 0.118 0.118 0.645
Rb 0.118 0.118 0.118
Rb 0.882 0.882 0.355
Rb 0.882 0.882 0.882
Rb 0.118 0.645 0.118
Rb 0.882 0.355 0.882
Rb 0.500 0.500 0.000
Rb 0.000 0.000 0.500
Rb 0.500 0.000 0.000
Rb 0.000 0.500 0.500
Rb 0.500 0.000 0.500
Rb 0.000 0.500 0.000
Rb 0.002 0.333 0.333
Rb 0.998 0.667 0.667
Rb 0.333 0.333 0.002
Rb 0.333 0.333 0.333
Rb 0.667 0.667 0.998
Rb 0.667 0.667 0.667
Rb 0.333 0.002 0.333
Rb 0.667 0.998 0.667
Rb 0.000 0.000 0.000
Hg 0.500 0.500 0.500
! Magnetic moment = 0.000 μB per atom
! D(E_F) = 30.17 states/eV per cell
! Formation energy = 0.009 eV/atom
! Space group = Fm-3m

Record 7
! ReNiPt | Alexandria | PBE | relaxed; values from VASP
&SYSTEM
  ibrav = 0, nat = 12, ntyp = 3
/
ATOMIC_SPECIES
Re 186.21 Re.upf
Ni 58.69 Ni.upf
Pt 195.08 Pt.upf
CELL_PARAMETERS angstrom
-1.927 -2.230 -3.637
2.471 -0.936 -0.735
0.736 -7.667 12.232
ATOMIC_POSITIONS crystal
Re 0.309 0.750 0.673
Re 0.309 0.750 0.173
Re 0.691 0.250 0.327
Re 0.691 0.250 0.827
Ni 0.177 0.750 0.826
Ni 0.177 0.750 0.326
Ni 0.823 0.250 0.174
Ni 0.823 0.250 0.674
Pt 0.253 0.250 0.501
Pt 0.253 0.250 0.001
Pt 0.747 0.750 0.499
Pt 0.747 0.750 0.999
! Magnetic moment = 0.000 μB per atom
! D(E_F) = 12.12 states/eV per cell
! Excess energy over the best structure of this formula in the dataset = 0.184 eV per formula unit
! Formation energy = -0.023 eV/atom
! Space group = P2_1/m

Record 8
! CaNdTeP | Alexandria | PBE | relaxed; values from VASP
&SYSTEM
  ibrav = 0, nat = 4, ntyp = 4
/
ATOMIC_SPECIES
Ca 40.08 Ca.upf
Nd 144.24 Nd.upf
Te 127.60 Te.upf
P 30.97 P.upf
CELL_PARAMETERS angstrom
-1.017 3.237 -2.665
-4.038 1.514 -0.112
-0.042 6.347 4.234
ATOMIC_POSITIONS crystal
Ca 0.509 0.509 0.472
Nd 0.988 0.988 0.037
Te 0.751 0.751 0.748
P 0.253 0.253 0.242
! Magnetic moment = 0.000 μB per atom
! D(E_F) = 0.00 states/eV per cell
! Space group = R3m
! Raw formation energy = -1.509 eV per atom

no.,volume (Å³ per cell)
1,105.7
2,142.2
3,160.8
4,48.3
5,460.1
6,2815.1
7,167.9
8,116.2